Density functional theory data (PBE+U) for a relaxed CsPaMnO5 crystal.

Unit cell a=6.537 b=6.537 c=8.131 alpha=106.01 beta=106.01 gamma=107.45
Positions (direct):
O  0.379  0.228  0.125
Pa  0.000  0.000  0.500
Cs  0.332  0.668  0.250
Mn  0.309  0.691  0.750
O  0.127  0.738  0.879
O  0.940  0.060  0.750
O  0.262  0.873  0.621
O  0.772  0.621  0.375
O  0.873  0.262  0.121
O  0.621  0.772  0.875
O  0.060  0.940  0.250
Cs  0.668  0.332  0.750
Mn  0.691  0.309  0.250
O  0.738  0.127  0.379
Pa  0.000  0.000  0.000
O  0.228  0.379  0.625

Total magnetic moment   6.00 Bohr magnetons per cell
Crystal system   monoclinic
Raw total energy   -121.61 eV per cell